An optimized crystal structure of KCd2P, computed with PBE-GGA.

magnetization = 0.00 μB per formula unit
formation energy = 5.4 kJ per mole of atoms
V = 236.1 Å³/cell

Lattice parameters (Å, degrees): 4.4814 6.1449 8.5752 90.00 90.00 90.00
Last column: nearest neighbours and their distance in Å.
Space group Imm2 (No. 44)
One atom of each set of equivalent atoms:
K (0.0000, 0.0000, 0.0000) [2 per cell]  4 P 3.37-3.55, 5 Cd 3.45-3.65
Cd (0.0000, 0.0000, 0.4253) [2 per cell]  2 P 2.51
Cd (0.0000, 0.5000, 0.1938) [2 per cell]  2 Cd 3.21, 1 P 3.43, 4 K 3.45-3.49
P (0.0000, 0.5000, 0.7935) [2 per cell]  2 Cd 2.51